[1]
The following is a PBE-GGA calculation of a geometry-optimized KRbMg6O7 structure, from Alexandria.

The structure in POSCAR format:
```
KRbMg6O7
1.0
4.3039 0.0000 0.0000
0.0000 4.3039 0.0000
0.0000 0.0000 11.4612
K Rb Mg O
1 1 6 7
Direct
0.0000 0.0000 0.0073 K
0.5000 0.5000 0.9806 Rb
0.0000 0.0000 0.4998 Mg
0.5000 0.5000 0.4840 Mg
0.0000 0.5000 0.2723 Mg
0.0000 0.5000 0.6739 Mg
0.5000 0.0000 0.2723 Mg
0.5000 0.0000 0.6739 Mg
0.0000 0.0000 0.6847 O
0.5000 0.5000 0.3113 O
0.5000 0.5000 0.6853 O
0.0000 0.5000 0.1096 O
0.0000 0.5000 0.4928 O
0.5000 0.0000 0.1096 O
0.5000 0.0000 0.4928 O
```

## Properties
E above lowest polymorph ... 1 meV per atom
E ... -4.969 eV per atom
Crystal system ... tetragonal
Space-group type ... P4mm, No. 99
Total magnetic moment ... 0.83 Bohr magnetons per cell
Raw formation energy ... -1.879 eV per atom

[2]
The following is a PBE-GGA calculation of a geometry-optimized KRbMg6O7 structure, from Alexandria.

The structure in POSCAR format:
```
KRbMg6O7
1.0
-1.8878 -3.6791 -1.2151
2.8830 -0.4309 -3.1746
6.8558 -5.8357 7.0182
K Rb Mg O
1 1 6 7
Direct
0.0000 0.0000 0.0072 K
0.5000 0.5000 0.9806 Rb
0.0000 0.0000 0.4838 Mg
0.5000 0.5000 0.4999 Mg
0.0000 0.5000 0.2720 Mg
0.0000 0.5000 0.6746 Mg
0.5000 0.0000 0.2720 Mg
0.5000 0.0000 0.6746 Mg
0.0000 0.0000 0.3105 O
0.0000 0.0000 0.6875 O
0.5000 0.5000 0.6841 O
0.0000 0.5000 0.1089 O
0.0000 0.5000 0.4927 O
0.5000 0.0000 0.1089 O
0.5000 0.0000 0.4927 O
```

## Properties
E above lowest polymorph ... 0 meV per atom
E ... -4.970 eV per atom
Crystal system ... tetragonal
Space-group type ... P4mm, No. 99
Total magnetic moment ... 0.79 Bohr magnetons per cell
Raw formation energy ... -1.881 eV per atom

[3]
The following is a PBE-GGA calculation of a geometry-optimized KMgRe2O8 structure, from Alexandria.

The structure in POSCAR format:
```
KMgRe2O8
1.0
-2.9417 -4.9980 0.1539
2.5361 2.0224 4.8099
-6.1300 3.6602 1.6933
K Mg Re O
1 1 2 8
Direct
0.0000 0.0000 0.0000 K
0.0000 0.0000 0.5000 Mg
0.6667 0.3333 0.2524 Re
0.3333 0.6667 0.7476 Re
0.3333 0.6667 0.9875 O
0.3303 0.1653 0.3290 O
0.8347 0.1650 0.3290 O
0.6667 0.3333 0.0125 O
0.1653 0.8350 0.6710 O
0.6697 0.8347 0.6710 O
0.1650 0.3303 0.6710 O
0.8350 0.6697 0.3290 O
```

## Properties
E ... -7.475 eV per atom
Crystal system ... trigonal
Space-group type ... P-3m1, No. 164
Total magnetic moment ... 1.09 Bohr magnetons per cell
Raw formation energy ... -1.870 eV per atom

[4]
The following is a PBE-GGA calculation of a geometry-optimized KMgRu2O8 structure, from Alexandria.

The structure in POSCAR format:
```
KMgRu2O8
1.0
-0.8403 3.2633 4.6243
-0.0611 -5.7019 0.4727
7.3624 0.0302 1.3165
K Mg Ru O
1 1 2 8
Direct
0.0000 0.0000 0.0000 K
0.0000 0.0000 0.5000 Mg
0.6667 0.3333 0.2531 Ru
0.3333 0.6667 0.7469 Ru
0.3333 0.6667 0.9812 O
0.3273 0.1845 0.3276 O
0.8155 0.1428 0.3276 O
0.6667 0.3333 0.0188 O
0.1845 0.8572 0.6724 O
0.6727 0.8155 0.6724 O
0.1428 0.3273 0.6724 O
0.8572 0.6727 0.3276 O
```

## Properties
E ... -6.300 eV per atom
Crystal system ... trigonal
Space-group type ... P-3, No. 147
Total magnetic moment ... 3.02 Bohr magnetons per cell
Raw formation energy ... -1.225 eV per atom

[5]
The following is a PBE-GGA calculation of a geometry-optimized K3Mg2RuO6 structure, from Alexandria.

The structure in POSCAR format:
```
K3Mg2RuO6
1.0
-3.8145 -1.7141 -3.5550
2.1989 -3.5300 3.5820
-3.7962 3.1031 3.9881
K Mg Ru O
3 2 1 6
Direct
0.1700 0.8300 0.5000 K
0.8300 0.1700 0.5000 K
0.5000 0.5000 0.5000 K
0.3336 0.6664 0.0000 Mg
0.6664 0.3336 0.0000 Mg
0.0000 0.0000 0.0000 Ru
0.9410 0.6277 0.8243 O
0.7460 0.7460 0.1774 O
0.0590 0.3723 0.1757 O
0.6277 0.9410 0.8243 O
0.2540 0.2540 0.8226 O
0.3723 0.0590 0.1757 O
```

## Properties
E ... -5.497 eV per atom
Crystal system ... monoclinic
Space-group type ... C2/m, No. 12
Total magnetic moment ... 3.00 Bohr magnetons per cell
Raw formation energy ... -1.704 eV per atom

[6]
The following is a PBE-GGA calculation of a geometry-optimized K2Mg2S3O12 structure, from Alexandria.

The structure in POSCAR format:
```
K2Mg2S3O12
1.0
-7.8544 1.7926 6.0392
4.2582 -5.6025 7.2011
4.6425 8.1716 3.6123
K Mg S O
8 8 12 48
Direct
0.2006 0.2994 0.7006 K
0.2994 0.7006 0.2006 K
0.7006 0.2006 0.2994 K
0.7994 0.7994 0.7994 K
0.4331 0.0669 0.9331 K
0.0669 0.9331 0.4331 K
0.9331 0.4331 0.0669 K
0.5669 0.5669 0.5669 K
0.1510 0.6510 0.8490 Mg
0.0856 0.0856 0.0856 Mg
0.4144 0.9144 0.5856 Mg
0.5856 0.4144 0.9144 Mg
0.9144 0.5856 0.4144 Mg
0.3490 0.3490 0.3490 Mg
0.8490 0.1510 0.6510 Mg
0.6510 0.8490 0.1510 Mg
0.4663 0.7310 0.8740 S
0.2690 0.3740 0.0337 S
0.3740 0.0337 0.2690 S
0.0337 0.2690 0.3740 S
0.8740 0.4663 0.7310 S
0.7310 0.8740 0.4663 S
0.2310 0.6260 0.5337 S
0.1260 0.9663 0.7690 S
0.6260 0.5337 0.2310 S
0.7690 0.1260 0.9663 S
0.9663 0.7690 0.1260 S
0.5337 0.2310 0.6260 S
0.5038 0.5913 0.8483 O
0.0038 0.9087 0.1517 O
0.4962 0.0913 0.6517 O
0.9087 0.1517 0.0038 O
0.6517 0.4962 0.0913 O
0.1517 0.0038 0.9087 O
0.5913 0.8483 0.5038 O
0.8483 0.5038 0.5913 O
0.0913 0.6517 0.4962 O
0.4087 0.3483 0.9962 O
0.3483 0.9962 0.4087 O
0.9962 0.4087 0.3483 O
0.4753 0.9459 0.2077 O
0.9753 0.5541 0.7923 O
0.5247 0.4459 0.2923 O
0.5541 0.7923 0.9753 O
0.2923 0.5247 0.4459 O
0.7923 0.9753 0.5541 O
0.5792 0.6740 0.2394 O
0.9459 0.2077 0.4753 O
0.4459 0.2923 0.5247 O
0.0541 0.7077 0.0247 O
0.7077 0.0247 0.0541 O
0.0247 0.0541 0.7077 O
0.3260 0.7394 0.9208 O
0.8260 0.7606 0.0792 O
0.6740 0.2394 0.5792 O
0.7606 0.0792 0.8260 O
0.0157 0.1925 0.2489 O
0.2489 0.0157 0.1925 O
0.1925 0.2489 0.0157 O
0.3075 0.7511 0.5157 O
0.7489 0.4843 0.8075 O
0.8075 0.7489 0.4843 O
0.2511 0.9843 0.6925 O
0.7511 0.5157 0.3075 O
0.6925 0.2511 0.9843 O
0.5157 0.3075 0.7511 O
0.9843 0.6925 0.2511 O
0.4843 0.8075 0.7489 O
0.1740 0.2606 0.4208 O
0.4208 0.1740 0.2606 O
0.2606 0.4208 0.1740 O
0.2394 0.5792 0.6740 O
0.9208 0.3260 0.7394 O
0.7394 0.9208 0.3260 O
0.0792 0.8260 0.7606 O
0.2077 0.4753 0.9459 O
```

## Properties
E ... -6.016 eV per atom
Crystal system ... cubic
Space-group type ... P2_13, No. 198
Total magnetic moment ... 0.00 Bohr magnetons per cell
Raw formation energy ... -1.949 eV per atom

[7]
The following is a PBE-GGA calculation of a geometry-optimized KMg3S4O12 structure, from Alexandria.

The structure in POSCAR format:
```
KMg3S4O12
1.0
-1.7488 -4.2888 4.8381
3.8604 -3.7050 -4.0286
4.3805 4.0548 3.0381
K Mg S O
1 3 4 12
Direct
0.0000 0.0000 0.0000 K
0.5687 0.4313 0.0000 Mg
0.4313 0.0000 0.5687 Mg
0.0000 0.5687 0.4313 Mg
0.9286 0.0714 0.5000 S
0.0714 0.5000 0.9286 S
0.5000 0.9286 0.0714 S
0.5000 0.5000 0.5000 S
0.5000 0.3316 0.6684 O
0.9230 0.5000 0.0770 O
0.0770 0.9230 0.5000 O
0.5000 0.0770 0.9230 O
0.3865 0.9788 0.2422 O
0.2422 0.3865 0.9788 O
0.9788 0.2422 0.3865 O
0.6135 0.7578 0.0212 O
0.0212 0.6135 0.7578 O
0.7578 0.0212 0.6135 O
0.6684 0.5000 0.3316 O
0.3316 0.6684 0.5000 O
```

## Properties
E ... -5.315 eV per atom
Crystal system ... trigonal
Space-group type ... R32, No. 155
Total magnetic moment ... 5.00 Bohr magnetons per cell
Raw formation energy ... -1.220 eV per atom

[8]
The following is a PBE-GGA calculation of a geometry-optimized KMgS2O8 structure, from Alexandria.

The structure in POSCAR format:
```
KMgS2O8
1.0
5.1648 0.0000 0.0000
-2.5824 4.4728 0.0000
0.0000 0.0000 7.7727
K Mg S O
1 1 2 8
Direct
0.0000 0.0000 0.0000 K
0.0000 0.0000 0.5000 Mg
0.6667 0.3333 0.2779 S
0.3333 0.6667 0.7221 S
0.3333 0.6667 0.9129 O
0.3606 0.2411 0.3388 O
0.7589 0.1195 0.3388 O
0.6667 0.3333 0.0871 O
0.2411 0.8805 0.6612 O
0.6394 0.7589 0.6612 O
0.1195 0.3606 0.6612 O
0.8805 0.6394 0.3388 O
```

## Properties
E ... -5.917 eV per atom
Crystal system ... trigonal
Space-group type ... P-3, No. 147
Total magnetic moment ... 1.11 Bohr magnetons per cell
Raw formation energy ... -1.700 eV per atom

[9]
The following is a PBE-GGA calculation of a geometry-optimized K2Mg2SbO6 structure, from Alexandria.

The structure in POSCAR format:
```
K2Mg2SbO6
1.0
6.0129 0.0000 0.0000
3.0064 5.2073 0.0000
3.0064 1.7358 5.8972
K Mg Sb O
2 2 1 6
Direct
0.8024 0.8024 0.5929 K
0.1976 0.1976 0.4071 K
0.3918 0.3918 0.8247 Mg
0.6082 0.6082 0.1753 Mg
0.0000 0.0000 0.0000 Sb
0.7783 0.7783 0.2066 O
0.2368 0.7783 0.2066 O
0.7783 0.2368 0.2066 O
0.2217 0.7632 0.7934 O
0.7632 0.2217 0.7934 O
0.2217 0.2217 0.7934 O
```

## Properties
E ... -5.252 eV per atom
Crystal system ... trigonal
Space-group type ... R-3m, No. 166
Total magnetic moment ... 1.04 Bohr magnetons per cell
Raw formation energy ... -1.683 eV per atom

[10]
The following is a PBE-GGA calculation of a geometry-optimized KMgScO3 structure, from Alexandria.

The structure in POSCAR format:
```
KMgScO3
1.0
3.2327 0.0000 0.0000
0.0000 7.4488 0.6575
0.0000 -2.2165 8.6400
K Mg Sc O
2 2 2 6
Direct
0.7500 0.8204 0.7718 K
0.2500 0.1796 0.2282 K
0.2500 0.1273 0.5820 Mg
0.7500 0.8727 0.4180 Mg
0.2500 0.6268 0.1212 Sc
0.7500 0.3732 0.8788 Sc
0.2500 0.8479 0.5344 O
0.7500 0.7923 0.1945 O
0.7500 0.4229 0.1044 O
0.7500 0.1521 0.4656 O
0.2500 0.5771 0.8956 O
0.2500 0.2077 0.8055 O
```

## Properties
E ... -6.554 eV per atom
Crystal system ... monoclinic
Space-group type ... P2_1/m, No. 11
Total magnetic moment ... 0.00 Bohr magnetons per cell
Raw formation energy ... -2.571 eV per atom

[11]
The following is a PBE-GGA calculation of a geometry-optimized KMgSe2O8 structure, from Alexandria.

The structure in POSCAR format:
```
KMgSe2O8
1.0
5.3220 0.0000 0.0000
-2.6610 4.6090 0.0000
0.0000 0.0000 7.9028
K Mg Se O
1 1 2 8
Direct
0.0000 0.0000 0.0000 K
0.0000 0.0000 0.5000 Mg
0.6667 0.3333 0.2778 Se
0.3333 0.6667 0.7222 Se
0.3333 0.6667 0.9347 O
0.3391 0.2671 0.3388 O
0.7329 0.0720 0.3388 O
0.6667 0.3333 0.0653 O
0.2671 0.9280 0.6612 O
0.6609 0.7329 0.6612 O
0.0720 0.3391 0.6612 O
0.9280 0.6609 0.3388 O
```

## Properties
E ... -5.238 eV per atom
Crystal system ... trigonal
Space-group type ... P-3, No. 147
Total magnetic moment ... 1.11 Bohr magnetons per cell
Raw formation energy ... -1.128 eV per atom

[12]
The following is a PBE-GGA calculation of a geometry-optimized KMg3Se4O12 structure, from Alexandria.

The structure in POSCAR format:
```
KMg3Se4O12
1.0
7.0710 -0.1510 -0.2098
-1.8503 6.8263 -0.2098
-1.8503 -2.3658 6.4067
K Mg Se O
1 3 4 12
Direct
0.0000 0.0000 0.0000 K
0.5592 0.4408 0.0000 Mg
0.4408 0.0000 0.5592 Mg
0.0000 0.5592 0.4408 Mg
0.9477 0.0523 0.5000 Se
0.0523 0.5000 0.9477 Se
0.5000 0.9477 0.0523 Se
0.5000 0.5000 0.5000 Se
0.5000 0.3403 0.6597 O
0.8841 0.5000 0.1159 O
0.1159 0.8841 0.5000 O
0.5000 0.1159 0.8841 O
0.3796 0.9618 0.2387 O
0.2387 0.3796 0.9618 O
0.9618 0.2387 0.3796 O
0.6204 0.7613 0.0382 O
0.0382 0.6204 0.7613 O
0.7613 0.0382 0.6204 O
0.6597 0.5000 0.3403 O
0.3403 0.6597 0.5000 O
```

## Properties
E ... -5.039 eV per atom
Crystal system ... trigonal
Space-group type ... R32, No. 155
Total magnetic moment ... 0.65 Bohr magnetons per cell
Raw formation energy ... -1.073 eV per atom